Entry 1:
The following is a DFT calculation (PBE-GGA) of an optimized crystal structure of Tb2Zn9Ga3.

a = 7.796 Å, b = 7.796 Å, c = 9.085 Å
α = 90.00°, β = 90.00°, γ = 60.97°
Sites, in units of the cell vectors:
Tb: 0.007 0.315 0.250
Tb: 0.315 0.007 0.750
Tb: 0.685 0.993 0.250
Tb: 0.993 0.685 0.750
Zn: 0.028 0.653 0.093
Zn: 0.028 0.653 0.407
Zn: 0.150 0.850 0.250
Zn: 0.335 0.665 0.563
Zn: 0.335 0.665 0.937
Zn: 0.347 0.972 0.093
Zn: 0.347 0.972 0.407
Zn: 0.358 0.450 0.250
Zn: 0.450 0.358 0.750
Zn: 0.550 0.642 0.250
Zn: 0.642 0.550 0.750
Zn: 0.653 0.028 0.593
Zn: 0.653 0.028 0.907
Zn: 0.665 0.335 0.063
Zn: 0.665 0.335 0.437
Zn: 0.850 0.150 0.750
Zn: 0.972 0.347 0.593
Zn: 0.972 0.347 0.907
Ga: 0.000 0.000 0.000
Ga: 0.000 0.000 0.500
Ga: 0.310 0.310 0.000
Ga: 0.310 0.310 0.500
Ga: 0.690 0.690 0.000
Ga: 0.690 0.690 0.500

Properties
space-group type	Cmcm
formation enthalpy at 0 K	-338	kJ/mol of formula units
ρ	7676	kg/m³


Entry 2:
The following is a DFT calculation (PBE-GGA) of an optimized crystal structure of AcPaIr4.

a = 5.456 Å, b = 5.456 Å, c = 5.456 Å
α = 60.00°, β = 60.00°, γ = 60.00°
Sites, in units of the cell vectors:
Ac: 0.000 0.000 0.000
Pa: 0.250 0.250 0.250
Ir: 0.126 0.625 0.625
Ir: 0.625 0.126 0.625
Ir: 0.625 0.625 0.126
Ir: 0.625 0.625 0.625

Properties
space-group type	F-43m
formation enthalpy at 0 K	-348	kJ/mol of formula units
ρ	17744	kg/m³


Entry 3:
The following is a DFT calculation (PBE-GGA) of an optimized crystal structure of GaTcSn2Cl.

a = 5.169 Å, b = 5.169 Å, c = 4.851 Å
α = 90.00°, β = 90.00°, γ = 90.00°
Sites, in units of the cell vectors:
Ga: 0.000 0.000 0.000
Tc: 0.000 0.000 0.500
Sn: 0.000 0.500 0.500
Sn: 0.500 0.000 0.500
Cl: 0.500 0.500 0.000

Properties
formation energy from raw total energies	-0.187	eV per atom
space-group type	P4/mmm
ρ	5645	kg/m³


Entry 4:
The following is a DFT calculation (PBE-GGA) of an optimized crystal structure of K4ZnHg4.

a = 8.808 Å, b = 8.808 Å, c = 8.808 Å
α = 132.15°, β = 132.15°, γ = 70.00°
Sites, in units of the cell vectors:
K: 0.137 0.137 0.560
K: 0.423 0.863 0.000
K: 0.577 0.577 0.440
K: 0.863 0.423 0.000
Zn: 0.000 0.000 0.000
Hg: 0.122 0.664 0.000
Hg: 0.336 0.336 0.458
Hg: 0.664 0.122 0.000
Hg: 0.878 0.878 0.542

Properties
space-group type	I-42m
formation enthalpy at 0 K	-123	kJ/mol of formula units
ρ	4618	kg/m³


Entry 5:
The following is a DFT calculation (PBE-GGA) of an optimized crystal structure of Cd3In4Ag2.

a = 6.923 Å, b = 6.923 Å, c = 10.182 Å
α = 94.20°, β = 94.20°, γ = 26.70°
Sites, in units of the cell vectors:
Cd: 0.000 0.000 0.000
Cd: 0.148 0.148 0.487
Cd: 0.852 0.852 0.513
In: 0.299 0.299 0.771
In: 0.467 0.467 0.304
In: 0.533 0.533 0.696
In: 0.701 0.701 0.229
Ag: 0.332 0.332 0.065
Ag: 0.668 0.668 0.935

Properties
space-group type	C2/m
formation enthalpy at 0 K	34	kJ/mol of formula units
ρ	7688	kg/m³


Entry 6:
The following is a DFT calculation (PBE-GGA) of an optimized crystal structure of Tb2HoErSc4.

a = 9.071 Å, b = 9.071 Å, c = 6.503 Å
α = 111.00°, β = 111.00°, γ = 88.48°
Sites, in units of the cell vectors:
Tb: 0.000 0.000 0.000
Tb: 0.000 0.000 0.500
Tb: 0.000 0.500 0.000
Tb: 0.500 0.000 0.500
Ho: 0.500 0.500 0.000
Ho: 0.500 0.500 0.500
Er: 0.000 0.500 0.500
Er: 0.500 0.000 0.000
Sc: 0.250 0.252 0.499
Sc: 0.251 0.749 0.000
Sc: 0.251 0.749 0.500
Sc: 0.252 0.250 0.999
Sc: 0.748 0.750 0.001
Sc: 0.749 0.251 0.000
Sc: 0.749 0.251 0.500
Sc: 0.750 0.748 0.501

Properties
space-group type	C2/c
formation enthalpy at 0 K	346	kJ/mol of formula units
ρ	5951	kg/m³


Entry 7:
The following is a DFT calculation (PBE-GGA) of an optimized crystal structure of Li2HoAgCl6.

a = 7.187 Å, b = 7.187 Å, c = 7.187 Å
α = 55.07°, β = 55.07°, γ = 55.07°
Sites, in units of the cell vectors:
Li: 0.000 0.000 0.000
Li: 0.489 0.489 0.489
Ho: 0.803 0.803 0.803
Ag: 0.285 0.285 0.285
Cl: 0.084 0.393 0.721
Cl: 0.217 0.865 0.609
Cl: 0.393 0.721 0.084
Cl: 0.609 0.217 0.865
Cl: 0.721 0.084 0.393
Cl: 0.865 0.609 0.217

Properties
formation energy from raw total energies	-1.711	eV per atom
space-group type	R3
ρ	3568	kg/m³


Entry 8:
The following is a DFT calculation (PBE-GGA) of an optimized crystal structure of La2SmH4.

a = 4.180 Å, b = 4.180 Å, c = 13.708 Å
α = 90.00°, β = 90.00°, γ = 90.00°
Sites, in units of the cell vectors:
La: 0.000 0.000 0.163
La: 0.000 0.000 0.837
La: 0.500 0.500 0.337
La: 0.500 0.500 0.663
Sm: 0.000 0.000 0.500
Sm: 0.500 0.500 0.000
H: 0.000 0.000 0.334
H: 0.000 0.000 0.666
H: 0.000 0.500 0.000
H: 0.000 0.500 0.500
H: 0.500 0.000 0.000
H: 0.500 0.000 0.500
H: 0.500 0.500 0.166
H: 0.500 0.500 0.834

Properties
space-group type	I4/mmm
final energy	-4.275	eV/atom
ρ	5993	kg/m³


Entry 9:
The following is a DFT calculation (PBE-GGA) of an optimized crystal structure of TmLuCdPt.

a = 7.086 Å, b = 7.086 Å, c = 7.086 Å
α = 90.00°, β = 90.00°, γ = 90.00°
Sites, in units of the cell vectors:
Tm: 0.000 0.000 0.000
Tm: 0.000 0.500 0.500
Tm: 0.500 0.000 0.500
Tm: 0.500 0.500 0.000
Lu: 0.000 0.000 0.500
Lu: 0.000 0.500 0.000
Lu: 0.500 0.000 0.000
Lu: 0.500 0.500 0.500
Cd: 0.250 0.250 0.750
Cd: 0.250 0.750 0.250
Cd: 0.750 0.250 0.250
Cd: 0.750 0.750 0.750
Pt: 0.250 0.250 0.250
Pt: 0.250 0.750 0.750
Pt: 0.750 0.250 0.750
Pt: 0.750 0.750 0.250

Properties
space-group type	F-43m
formation enthalpy at 0 K	-297	kJ/mol of formula units
ρ	12160	kg/m³


Entry 10:
The following is a DFT calculation (PBE-GGA) of an optimized crystal structure of B2H6Pb.

a = 4.634 Å, b = 4.634 Å, c = 4.634 Å
α = 60.00°, β = 60.00°, γ = 60.00°
Sites, in units of the cell vectors:
B: 0.250 0.250 0.250
B: 0.750 0.750 0.750
H: 0.148 0.148 0.852
H: 0.148 0.852 0.148
H: 0.148 0.852 0.852
H: 0.852 0.148 0.148
H: 0.852 0.148 0.852
H: 0.852 0.852 0.148
Pb: 0.500 0.500 0.500

Properties
space-group type	Fm-3m
final energy	-2.563	eV/atom
ρ	5543	kg/m³


Entry 11:
The following is a DFT calculation (PBE-GGA) of an optimized crystal structure of Rb2ScAlCl6.

a = 7.613 Å, b = 7.613 Å, c = 7.613 Å
α = 60.00°, β = 60.00°, γ = 60.00°
Sites, in units of the cell vectors:
Rb: 0.250 0.250 0.250
Rb: 0.750 0.750 0.750
Sc: 0.000 0.000 0.000
Al: 0.500 0.500 0.500
Cl: 0.233 0.233 0.767
Cl: 0.233 0.767 0.233
Cl: 0.233 0.767 0.767
Cl: 0.767 0.233 0.233
Cl: 0.767 0.233 0.767
Cl: 0.767 0.767 0.233

Properties
formation energy from raw total energies	-1.718	eV per atom
space-group type	Fm-3m
ρ	2424	kg/m³


Entry 12:
The following is a DFT calculation (PBE-GGA) of an optimized crystal structure of LiTaZn3.

a = 4.182 Å, b = 4.182 Å, c = 4.182 Å
α = 90.00°, β = 90.00°, γ = 90.00°
Sites, in units of the cell vectors:
Li: 0.000 0.000 0.000
Ta: 0.500 0.500 0.500
Zn: 0.000 0.000 0.500
Zn: 0.000 0.500 0.000
Zn: 0.500 0.000 0.000

Properties
space-group type	Pm-3m
E above lowest polymorph	0	meV/atom
formation enthalpy at 0 K	233	kJ/mol of formula units
ρ	8721	kg/m³


Which of these has the lowest ρ?
Rb2ScAlCl6


Which of these has the lowest ρ?
Rb2ScAlCl6


Copy entry 6 word for word.
The following is a DFT calculation (PBE-GGA) of an optimized crystal structure of Tb2HoErSc4.

a = 9.071 Å, b = 9.071 Å, c = 6.503 Å
α = 111.00°, β = 111.00°, γ = 88.48°
Sites, in units of the cell vectors:
Tb: 0.000 0.000 0.000
Tb: 0.000 0.000 0.500
Tb: 0.000 0.500 0.000
Tb: 0.500 0.000 0.500
Ho: 0.500 0.500 0.000
Ho: 0.500 0.500 0.500
Er: 0.000 0.500 0.500
Er: 0.500 0.000 0.000
Sc: 0.250 0.252 0.499
Sc: 0.251 0.749 0.000
Sc: 0.251 0.749 0.500
Sc: 0.252 0.250 0.999
Sc: 0.748 0.750 0.001
Sc: 0.749 0.251 0.000
Sc: 0.749 0.251 0.500
Sc: 0.750 0.748 0.501

Properties
space-group type	C2/c
formation enthalpy at 0 K	346	kJ/mol of formula units
ρ	5951	kg/m³